# HfTl2Ni PBE-GGA relaxed
data_HfTl2Ni
_chemical_formula_sum 'Hf4 Tl8 Ni4'
_symmetry_space_group_name_H-M 'F -4 3 m'
_symmetry_Int_Tables_number 216
_symmetry_space_group_name_Hall 'F -4 2 3'
_cell_length_a 6.907
_cell_length_b 6.907
_cell_length_c 6.907
_cell_angle_alpha 90.00
_cell_angle_beta 90.00
_cell_angle_gamma 90.00
loop_
_atom_site_label
_atom_site_fract_x
_atom_site_fract_y
_atom_site_fract_z
Hf1 0.000 0.000 0.000
Tl1 0.000 0.000 0.500
Tl2 0.250 0.250 0.250
Ni1 0.250 0.250 0.750
# Energy = -4.700 eV per atom